<one>
Material: FeAs5
Method: DFT, PBE
State: optimized geometry

POSCAR file:
```
FeAs5
1.0
6.4928 -1.5456 0.0000
6.4928 1.5456 0.0000
-2.5941 0.0000 6.7922
Fe As
1 5
direct
0.0000 0.0000 0.0000 Fe
0.3596 0.3596 0.7848 As
0.4084 0.4084 0.1706 As
0.6129 0.6129 0.2981 As
0.6392 0.6392 0.9688 As
0.9930 0.9930 0.6639 As
```

Magnetic moment   0.131 μB/atom
SG   No. 8
Crystal system   monoclinic


<two>
Material: FeAs5
Method: DFT, PBE
State: optimized geometry

POSCAR file:
```
FeAs5
1.0
1.5465 -9.0293 0.0000
1.5465 9.0293 0.0000
0.0000 0.0000 4.1214
Fe As
1 5
direct
0.0000 0.0000 0.0000 Fe
0.1939 0.8061 0.5000 As
0.3913 0.6087 0.0000 As
0.5000 0.5000 0.5000 As
0.6087 0.3913 0.0000 As
0.8061 0.1939 0.5000 As
```

Magnetic moment   0.224 μB/atom
SG   No. 65
Crystal system   orthorhombic


<three>
Material: FeAs5
Method: DFT, PBE
State: optimized geometry

POSCAR file:
```
FeAs5
1.0
1.8749 -7.1627 0.0000
1.8749 7.1627 0.0000
0.0000 0.0000 4.5596
Fe As
1 5
direct
0.0000 0.0000 0.0000 Fe
0.0000 0.0000 0.5000 As
0.3091 0.6909 0.5000 As
0.3956 0.6044 0.0000 As
0.6044 0.3956 0.0000 As
0.6909 0.3091 0.5000 As
```

Magnetic moment   0.000 μB/atom
SG   No. 65
Crystal system   orthorhombic


Most stable: <three>. Least stable: <two>.


<one>
Material: FeAs5
Method: DFT, PBE
State: optimized geometry

POSCAR file:
```
FeAs5
1.0
6.3532 0.0000 0.0000
-3.1766 5.5020 0.0000
0.0000 0.0000 3.2429
Fe As
1 5
direct
0.0000 0.0000 0.0000 Fe
0.0000 0.7014 0.5000 As
0.2986 0.2986 0.5000 As
0.3333 0.6667 0.0000 As
0.6667 0.3333 0.0000 As
0.7014 0.0000 0.5000 As
```

Magnetic moment   0.292 μB/atom
SG   No. 189
Crystal system   hexagonal


<two>
Material: FeAs5
Method: DFT, PBE
State: optimized geometry

POSCAR file:
```
FeAs5
1.0
2.8528 0.0000 0.0000
0.0000 2.8528 0.0000
0.0000 0.0000 13.2290
Fe As
1 5
direct
0.0000 0.0000 0.0000 Fe
0.0000 0.0000 0.3203 As
0.0000 0.0000 0.6797 As
0.5000 0.5000 0.1125 As
0.5000 0.5000 0.5000 As
0.5000 0.5000 0.8875 As
```

Magnetic moment   0.127 μB/atom
SG   No. 123
Crystal system   tetragonal


Most stable: <two>. Least stable: <one>.


<one>
Material: Ga2FeAs2
Method: DFT, PBE
State: optimized geometry

POSCAR file:
```
Ga2FeAs2
1.0
-1.7748 1.7748 7.5181
1.7748 -1.7748 7.5181
1.7748 1.7748 -7.5181
Ga Fe As
2 1 2
direct
0.2500 0.7500 0.5000 Ga
0.7500 0.2500 0.5000 Ga
0.0000 0.0000 0.0000 Fe
0.4175 0.4175 0.0000 As
0.5825 0.5825 0.0000 As
```

Magnetic moment   0.553 μB/atom
SG   No. 139
Crystal system   tetragonal


<two>
Material: Ga2FeAs2
Method: DFT, PBE
State: optimized geometry

POSCAR file:
```
Ga2FeAs2
1.0
6.0544 0.0000 0.0000
0.0000 6.0544 0.0000
0.0000 0.0000 4.9841
Ga Fe As
4 2 4
direct
0.1849 0.3151 0.0000 Ga
0.3151 0.8151 0.0000 Ga
0.6849 0.1849 0.0000 Ga
0.8151 0.6849 0.0000 Ga
0.0000 0.0000 0.5000 Fe
0.5000 0.5000 0.5000 Fe
0.1481 0.6481 0.5000 As
0.3519 0.1481 0.5000 As
0.6481 0.8519 0.5000 As
0.8519 0.3519 0.5000 As
```

Magnetic moment   0.154 μB/atom
SG   No. 127
Crystal system   tetragonal


Most stable: <two>. Least stable: <one>.


<one>
Material: GaFe2As
Method: DFT, PBE
State: optimized geometry

POSCAR file:
```
GaFe2As
1.0
0.0000 2.8956 2.8956
2.8956 0.0000 2.8956
2.8956 2.8956 0.0000
Ga Fe As
1 2 1
direct
0.0000 0.0000 0.0000 Ga
0.2500 0.2500 0.2500 Fe
0.7500 0.7500 0.7500 Fe
0.5000 0.5000 0.5000 As
```

Magnetic moment   0.000 μB/atom
SG   No. 225
Crystal system   cubic


<two>
Material: GaFe2As
Method: DFT, PBE
State: optimized geometry

POSCAR file:
```
GaFe2As
1.0
2.8934 0.0000 0.0000
0.0000 2.8934 0.0000
0.0000 0.0000 5.8335
Ga Fe As
1 2 1
direct
0.0000 0.0000 0.0000 Ga
0.5000 0.5000 0.2616 Fe
0.5000 0.5000 0.7384 Fe
0.0000 0.0000 0.5000 As
```

Magnetic moment   0.000 μB/atom
SG   No. 123
Crystal system   tetragonal


Most stable: <two>. Least stable: <one>.


<one>
Material: FeGe3As
Method: DFT, PBE
State: optimized geometry

POSCAR file:
```
FeGe3As
1.0
5.0001 0.0000 0.0000
0.0000 5.0001 0.0000
0.0000 0.0000 5.0001
Fe Ge As
1 3 1
direct
0.0000 0.0000 0.0000 Fe
0.0000 0.5000 0.5000 Ge
0.5000 0.0000 0.5000 Ge
0.5000 0.5000 0.0000 Ge
0.5000 0.5000 0.5000 As
```

Magnetic moment   0.614 μB/atom
SG   No. 221
Crystal system   cubic


<two>
Material: FeGe3As
Method: DFT, PBE
State: optimized geometry

POSCAR file:
```
FeGe3As
1.0
4.5882 0.0000 0.0000
0.0000 4.5882 0.0000
0.0000 0.0000 4.5882
Fe Ge As
1 3 1
direct
0.0000 0.0000 0.0000 Fe
0.0000 0.0000 0.5000 Ge
0.0000 0.5000 0.0000 Ge
0.5000 0.0000 0.0000 Ge
0.5000 0.5000 0.5000 As
```

Magnetic moment   0.000 μB/atom
SG   No. 221
Crystal system   cubic


Most stable: <two>. Least stable: <one>.


<one>
Material: Fe2GeAs
Method: DFT, PBE
State: optimized geometry

POSCAR file:
```
Fe2GeAs
1.0
-2.6287 2.6287 5.1962
2.6287 -2.6287 5.1962
2.6287 2.6287 -5.1962
Fe Ge As
4 2 2
direct
0.1182 0.6250 0.9932 Fe
0.3750 0.3682 0.4932 Fe
0.6318 0.1250 0.0068 Fe
0.8750 0.8818 0.5068 Fe
0.2500 0.7500 0.5000 Ge
0.5000 0.5000 0.0000 Ge
0.0000 0.0000 0.0000 As
0.7500 0.2500 0.5000 As
```

Magnetic moment   0.250 μB/atom
SG   No. 122
Crystal system   tetragonal


<two>
Material: Fe2GeAs
Method: DFT, PBE
State: optimized geometry

POSCAR file:
```
Fe2GeAs
1.0
0.0000 2.9167 2.9167
2.9167 0.0000 2.9167
2.9167 2.9167 0.0000
Fe Ge As
2 1 1
direct
0.2500 0.2500 0.2500 Fe
0.7500 0.7500 0.7500 Fe
0.0000 0.0000 0.0000 Ge
0.5000 0.5000 0.5000 As
```

Magnetic moment   0.202 μB/atom
SG   No. 225
Crystal system   cubic


Most stable: <two>. Least stable: <one>.


<one>
Material: FeAs2H
Method: DFT, PBE
State: optimized geometry

POSCAR file:
```
FeAs2H
1.0
0.0000 2.9161 2.9161
2.9161 0.0000 2.9161
2.9161 2.9161 0.0000
Fe As H
1 2 1
direct
0.0000 0.0000 0.0000 Fe
0.2500 0.2500 0.2500 As
0.7500 0.7500 0.7500 As
0.5000 0.5000 0.5000 H
```

Magnetic moment   0.267 μB/atom
SG   No. 225
Crystal system   cubic


<two>
Material: FeAs2H
Method: DFT, PBE
State: optimized geometry

POSCAR file:
```
FeAs2H
1.0
-2.7192 2.7192 3.7549
2.7192 -2.7192 3.7549
2.7192 2.7192 -3.7549
Fe As H
2 4 2
direct
0.0000 0.0000 0.0000 Fe
0.7500 0.2500 0.5000 Fe
0.1670 0.6250 0.0420 As
0.3750 0.4170 0.5420 As
0.5830 0.1250 0.9580 As
0.8750 0.8330 0.4580 As
0.2500 0.7500 0.5000 H
0.5000 0.5000 0.0000 H
```

Magnetic moment   0.000 μB/atom
SG   No. 122
Crystal system   tetragonal


Most stable: <one>. Least stable: <two>.


<one>
Material: FeAsH2
Method: DFT, PBE
State: optimized geometry

POSCAR file:
```
FeAsH2
1.0
-1.8752 1.8752 5.2927
1.8752 -1.8752 5.2927
1.8752 1.8752 -5.2927
Fe As H
2 2 4
direct
0.0000 0.0000 0.0000 Fe
0.7500 0.2500 0.5000 Fe
0.2500 0.7500 0.5000 As
0.5000 0.5000 0.0000 As
0.3750 0.1227 0.2477 H
0.8727 0.6250 0.7477 H
0.8750 0.1273 0.7523 H
0.8773 0.1250 0.2523 H
```

Magnetic moment   0.270 μB/atom
SG   No. 122
Crystal system   tetragonal


<two>
Material: FeAsH2
Method: DFT, PBE
State: optimized geometry

POSCAR file:
```
FeAsH2
1.0
0.0000 2.6179 2.6179
2.6179 0.0000 2.6179
2.6179 2.6179 0.0000
Fe As H
1 1 2
direct
0.0000 0.0000 0.0000 Fe
0.5000 0.5000 0.5000 As
0.2500 0.2500 0.2500 H
0.7500 0.7500 0.7500 H
```

Magnetic moment   0.549 μB/atom
SG   No. 225
Crystal system   cubic


Most stable: <one>. Least stable: <two>.


<one>
Material: FeAsHSe2
Method: DFT, PBE
State: optimized geometry

POSCAR file:
```
FeAsHSe2
1.0
4.6766 0.0000 0.0000
0.0000 4.6766 0.0000
0.0000 0.0000 4.4760
Fe As H Se
1 1 1 2
direct
0.0000 0.0000 0.0000 Fe
0.0000 0.0000 0.5000 As
0.5000 0.5000 0.5000 H
0.0000 0.5000 0.0000 Se
0.5000 0.0000 0.0000 Se
```

Magnetic moment   0.637 μB/atom
SG   No. 123
Crystal system   tetragonal


<two>
Material: FeAsHSe2
Method: DFT, PBE
State: optimized geometry

POSCAR file:
```
FeAsHSe2
1.0
4.6279 0.0000 0.0000
0.0000 4.6279 0.0000
0.0000 0.0000 3.4242
Fe As H Se
1 1 1 2
direct
0.0000 0.0000 0.0000 Fe
0.5000 0.5000 0.0000 As
0.5000 0.5000 0.5000 H
0.0000 0.5000 0.5000 Se
0.5000 0.0000 0.5000 Se
```

Magnetic moment   0.000 μB/atom
SG   No. 123
Crystal system   tetragonal


Most stable: <one>. Least stable: <two>.


<one>
Material: TiFe2AsH
Method: DFT, PBE
State: optimized geometry

POSCAR file:
```
TiFe2AsH
1.0
1.8277 -4.7252 0.0000
1.8277 4.7252 0.0000
0.0000 0.0000 6.6528
Ti Fe As H
2 4 2 2
direct
0.0628 0.9372 0.7500 Ti
0.9372 0.0628 0.2500 Ti
0.3418 0.6582 0.5541 Fe
0.3418 0.6582 0.9459 Fe
0.6582 0.3418 0.0541 Fe
0.6582 0.3418 0.4459 Fe
0.2211 0.7789 0.2500 As
0.7789 0.2211 0.7500 As
0.5000 0.5000 0.0000 H
0.5000 0.5000 0.5000 H
```

Magnetic moment   0.350 μB/atom
SG   No. 63
Crystal system   orthorhombic


<two>
Material: TiFe2AsH
Method: DFT, PBE
State: optimized geometry

POSCAR file:
```
TiFe2AsH
1.0
3.6990 0.0000 0.0000
0.0000 3.6990 0.0000
0.0000 0.0000 4.0394
Ti Fe As H
1 2 1 1
direct
0.0000 0.0000 0.0000 Ti
0.0000 0.5000 0.5000 Fe
0.5000 0.0000 0.5000 Fe
0.5000 0.5000 0.0000 As
0.0000 0.0000 0.5000 H
```

Magnetic moment   0.801 μB/atom
SG   No. 123
Crystal system   tetragonal


Most stable: <two>. Least stable: <one>.


<one>
Material: HfFeAsSe2
Method: DFT, PBE
State: optimized geometry

POSCAR file:
```
HfFeAsSe2
1.0
5.1073 0.0000 0.0000
0.0000 5.1073 0.0000
0.0000 0.0000 5.2024
Hf Fe As Se
1 1 1 2
direct
0.0000 0.0000 0.0000 Hf
0.5000 0.5000 0.5000 Fe
0.0000 0.0000 0.5000 As
0.0000 0.5000 0.0000 Se
0.5000 0.0000 0.0000 Se
```

Magnetic moment   0.787 μB/atom
SG   No. 123
Crystal system   tetragonal


<two>
Material: HfFeAsSe2
Method: DFT, PBE
State: optimized geometry

POSCAR file:
```
HfFeAsSe2
1.0
4.7036 0.0000 0.0000
0.0000 4.7036 0.0000
0.0000 0.0000 4.5090
Hf Fe As Se
1 1 1 2
direct
0.0000 0.0000 0.0000 Hf
0.5000 0.5000 0.5000 Fe
0.5000 0.5000 0.0000 As
0.0000 0.5000 0.5000 Se
0.5000 0.0000 0.5000 Se
```

Magnetic moment   0.328 μB/atom
SG   No. 123
Crystal system   tetragonal


Most stable: <two>. Least stable: <one>.


<one>
Material: Fe2HgAs2
Method: DFT, PBE
State: optimized geometry

POSCAR file:
```
Fe2HgAs2
1.0
7.1466 0.0000 0.0000
0.0000 7.1466 0.0000
0.0000 0.0000 3.1500
Fe Hg As
4 2 4
direct
0.1301 0.3699 0.0000 Fe
0.3699 0.8699 0.0000 Fe
0.6301 0.1301 0.0000 Fe
0.8699 0.6301 0.0000 Fe
0.0000 0.0000 0.0000 Hg
0.5000 0.5000 0.0000 Hg
0.1489 0.6489 0.5000 As
0.3511 0.1489 0.5000 As
0.6489 0.8511 0.5000 As
0.8511 0.3511 0.5000 As
```

Magnetic moment   0.834 μB/atom
SG   No. 127
Crystal system   tetragonal


<two>
Material: Fe2HgAs2
Method: DFT, PBE
State: optimized geometry

POSCAR file:
```
Fe2HgAs2
1.0
-2.0626 2.0626 4.7276
2.0626 -2.0626 4.7276
2.0626 2.0626 -4.7276
Fe Hg As
2 1 2
direct
0.2500 0.7500 0.5000 Fe
0.7500 0.2500 0.5000 Fe
0.0000 0.0000 0.0000 Hg
0.3657 0.3657 0.0000 As
0.6343 0.6343 0.0000 As
```

Magnetic moment   0.000 μB/atom
SG   No. 139
Crystal system   tetragonal


Most stable: <two>. Least stable: <one>.